1.
First-principles (PBE) data for a geometry-optimized PmSm6Hg6 structure, as listed in Alexandria.

The value obtained for the spin magnetization is 0.129 μB/atom. As for the formation energy from the elements: -0.27 eV per atom. Its space group is P6/mmm (191). As for the volume: 28.65 Å³/atom. Its crystal system is hexagonal.

abc: 6.2679 6.2679 10.9474
angles: 90.00 90.00 120.00
Last column: nearest neighbours and their distance in Å.
Fractional positions:
Sm1 0.3333 0.6667 0.0000  6 Hg 3.22
Sm2 0.0000 0.0000 0.3382  6 Hg 3.30, 1 Sm 3.54
Hg1 0.0000 0.5000 0.7568  4 Hg 3.13, 6 Sm 3.22-3.34
Pm1 0.0000 0.0000 0.0000  8 Sm 3.62-3.70
Hg2 0.5000 0.5000 0.7568  4 Hg 3.13, 6 Sm 3.22-3.34
Hg3 0.5000 0.0000 0.7568  4 Hg 3.13, 6 Sm 3.22-3.34
Sm3 0.6667 0.3333 0.0000  6 Hg 3.22
Hg4 0.5000 0.0000 0.2432  4 Hg 3.13, 6 Sm 3.22-3.34
Sm4 0.0000 0.0000 0.6618  6 Hg 3.30, 1 Sm 3.54
Sm5 0.3333 0.6667 0.5000  6 Hg 3.34, 3 Sm 3.62
Hg5 0.5000 0.5000 0.2432  4 Hg 3.13, 6 Sm 3.22-3.34
Hg6 0.0000 0.5000 0.2432  4 Hg 3.13, 6 Sm 3.22-3.34
Sm6 0.6667 0.3333 0.5000  6 Hg 3.34, 3 Sm 3.62

***

2.
First-principles (PBE) data for a geometry-optimized PmSm3Hg2 structure, as listed in Alexandria.

The value obtained for the spin magnetization is 0.000 μB/atom. As for the formation energy from the elements: -0.25 eV per atom. Its energy above the most stable polymorph in this dataset is 0.0901 eV/atom. Its space group is C2/m (12). As for the volume: 30.10 Å³/atom. Its crystal system is monoclinic.

abc: 5.4474 9.5882 9.0366
angles: 125.30 90.00 106.50
Last column: nearest neighbours and their distance in Å.
Fractional positions:
Sm1 0.3071 0.6143 0.6193  2 Hg 3.06-3.22, 2 Sm 3.32
Pm1 0.1325 0.2650 0.0740  5 Hg 3.28-3.55, 3 Sm 3.55-3.56
Sm2 0.6929 0.3857 0.3807  2 Hg 3.06-3.22, 2 Sm 3.32
Sm3 0.9385 0.8770 0.5998  3 Hg 3.29-3.31, 4 Sm 3.55-3.68, 1 Pm 3.56
Hg1 0.2251 0.4502 0.8495  5 Sm 3.13-3.29, 1 Pm 3.34
Sm4 0.3801 0.7603 0.2945  4 Hg 2.98-3.24
Hg2 0.4846 0.9693 0.1392  1 Hg 2.89, 2 Sm 2.98-3.06
Sm5 0.0615 0.1230 0.4002  3 Hg 3.29-3.31, 4 Sm 3.55-3.68, 1 Pm 3.56
Hg3 0.7749 0.5498 0.1505  5 Sm 3.13-3.29, 1 Pm 3.34
Sm6 0.6199 0.2397 0.7055  4 Hg 2.98-3.24
Pm2 0.8675 0.7350 0.9260  5 Hg 3.28-3.55, 3 Sm 3.55-3.56
Hg4 0.5154 0.0307 0.8608  1 Hg 2.89, 2 Sm 2.98-3.06

***

3.
First-principles (PBE) data for a geometry-optimized Pm2SmHg4 structure, as listed in Alexandria.

The value obtained for the spin magnetization is 0.000 μB/atom. As for the formation energy from the elements: -0.34 eV per atom. Its energy above the most stable polymorph in this dataset is 0.0000 eV/atom. Its space group is R-3m (166). As for the volume: 29.74 Å³/atom. Its crystal system is trigonal.

abc: 5.1937 5.1937 9.4040
angles: 73.97 73.97 60.00
Last column: nearest neighbours and their distance in Å.
Fractional positions:
Pm1 0.7565 0.7565 0.7304  8 Hg 3.13-3.51
Pm2 0.2435 0.2435 0.2696  8 Hg 3.13-3.51
Hg1 0.1262 0.1262 0.6213  4 Pm 3.13-3.15, 1 Sm 3.38
Sm1 0.0000 0.0000 0.0000  8 Hg 3.20-3.38
Hg2 0.8738 0.8738 0.3787  4 Pm 3.13-3.15, 1 Sm 3.38
Hg3 0.3747 0.3747 0.8760  3 Sm 3.20, 4 Pm 3.27-3.51
Hg4 0.6253 0.6253 0.1240  3 Sm 3.20, 4 Pm 3.27-3.51

***

4.
First-principles (PBE) data for a geometry-optimized PmSm2Sn2Hg2 structure, as listed in Alexandria.

The value obtained for the spin magnetization is 0.000 μB/atom. As for the formation energy from the elements: -0.36 eV per atom. Its space group is R-3m (166). As for the volume: 28.35 Å³/atom. Its crystal system is trigonal.

abc: 5.0005 5.0005 9.6088
angles: 74.92 74.92 60.00
Last column: nearest neighbours and their distance in Å.
Fractional positions:
Hg1 0.4292 0.4292 0.7125  3 Sn 3.03, 3 Sm 3.04
Sn1 0.2710 0.2710 0.1870  3 Hg 3.03, 3 Pm 3.36
Pm1 0.0000 0.0000 0.0000  6 Sn 3.36, 2 Sm 3.59
Sm1 0.1307 0.1307 0.6078  3 Hg 3.04
Sn2 0.7290 0.7290 0.8130  3 Hg 3.03, 3 Pm 3.36
Hg2 0.5708 0.5708 0.2875  3 Sn 3.03, 3 Sm 3.04
Sm2 0.8693 0.8693 0.3922  3 Hg 3.04

***

5.
First-principles (PBE) data for a geometry-optimized Pm2SmSn2Hg2 structure, as listed in Alexandria.

The value obtained for the spin magnetization is 0.000 μB/atom. As for the formation energy from the elements: -0.35 eV per atom. Its space group is R-3m (166). As for the volume: 28.46 Å³/atom. Its crystal system is trigonal.

abc: 4.9998 4.9998 9.6438
angles: 74.98 74.98 60.00
Last column: nearest neighbours and their distance in Å.
Fractional positions:
Hg1 0.4278 0.4278 0.7165  3 Sn 3.03, 3 Pm 3.05
Pm1 0.1304 0.1304 0.6088  3 Hg 3.05
Sn1 0.7280 0.7280 0.8161  3 Hg 3.03, 3 Sm 3.35
Sn2 0.2720 0.2720 0.1839  3 Hg 3.03, 3 Sm 3.35
Sm1 0.0000 0.0000 0.0000  6 Sn 3.35, 2 Pm 3.60
Hg2 0.5722 0.5722 0.2835  3 Sn 3.03, 3 Pm 3.05
Pm2 0.8696 0.8696 0.3912  3 Hg 3.05

***

6.
First-principles (PBE) data for a geometry-optimized TbPmSmHg structure, as listed in Alexandria.

The value obtained for the spin magnetization is 0.000 μB/atom. As for the formation energy from the elements: -0.23 eV per atom. Its energy above the most stable polymorph in this dataset is 0.0000 eV/atom. Its space group is P4mm (99). As for the volume: 30.22 Å³/atom. Its crystal system is tetragonal.

abc: 3.6795 3.6795 8.9287
angles: 90.00 90.00 90.00
Last column: nearest neighbours and their distance in Å.
Fractional positions:
Sm1 0.5000 0.5000 0.7919  4 Hg 3.30, 4 Pm 3.63, 4 Sm 3.68
Hg1 0.0000 0.0000 0.5647  4 Tb 3.21, 4 Sm 3.30
Pm1 0.0000 0.0000 0.0749  4 Tb 3.60, 4 Sm 3.63, 4 Pm 3.68
Tb1 0.5000 0.5000 0.3533  4 Hg 3.21, 4 Pm 3.60

***

7.
First-principles (PBE) data for a geometry-optimized TbPmSmHg structure, as listed in Alexandria.

The value obtained for the spin magnetization is 0.000 μB/atom. As for the formation energy from the elements: -0.04 eV per atom. Its energy above the most stable polymorph in this dataset is 0.1880 eV/atom. Its space group is F-43m (216). As for the volume: 29.08 Å³/atom. Its crystal system is cubic.

abc: 5.4794 5.4794 5.4794
angles: 60.00 60.00 60.00
Last column: nearest neighbours and their distance in Å.
Fractional positions:
Pm1 0.2500 0.2500 0.2500  4 Tb 3.36, 4 Sm 3.36
Tb1 0.0000 0.0000 0.0000  4 Hg 3.36, 4 Pm 3.36
Sm1 0.5000 0.5000 0.5000  4 Pm 3.36, 4 Hg 3.36
Hg1 0.7500 0.7500 0.7500  4 Sm 3.36, 4 Tb 3.36

***

8.
First-principles (PBE) data for a geometry-optimized PmSmHgTe structure, as listed in Alexandria.

For the total energy, the calculation gives -4.138 eV per atom. The value obtained for the spin magnetization is 0.000 μB/atom. Its space group is R3m (160). As for the volume: 30.92 Å³/atom. Its crystal system is trigonal.

abc: 4.2806 4.2806 8.1752
angles: 74.82 74.82 60.00
Last column: nearest neighbours and their distance in Å.
Fractional positions:
Pm1 0.2492 0.2492 0.2524  3 Te 3.14, 3 Hg 3.17
Hg1 0.0005 0.0005 0.9986  3 Sm 3.15, 3 Pm 3.17
Te1 0.4995 0.4995 0.5015  3 Sm 3.13, 3 Pm 3.14
Sm1 0.7508 0.7508 0.7475  3 Te 3.13, 3 Hg 3.15

***

9.
First-principles (PBE) data for a geometry-optimized Pm3Sm3TlHg2 structure, as listed in Alexandria.

The value obtained for the spin magnetization is 0.000 μB/atom. As for the formation energy from the elements: -0.25 eV per atom. Its space group is P-62m (189). As for the volume: 30.14 Å³/atom. Its crystal system is hexagonal.

abc: 3.8402 9.0307 9.0307
angles: 120.00 90.00 90.00
Last column: nearest neighbours and their distance in Å.
Fractional positions:
Hg1 0.5000 0.6667 0.3333  3 Pm 3.24, 6 Sm 3.40
Pm1 0.5000 0.7131 0.0000  2 Tl 3.23, 2 Hg 3.24, 2 Sm 3.52
Sm1 0.0000 0.6133 0.6133  4 Hg 3.40, 1 Tl 3.49, 6 Pm 3.52-3.68
Sm2 0.0000 0.3867 0.0000  4 Hg 3.40, 1 Tl 3.49, 6 Pm 3.52-3.68
Sm3 0.0000 0.0000 0.3867  4 Hg 3.40, 1 Tl 3.49, 6 Pm 3.52-3.68
Tl1 0.0000 0.0000 0.0000  6 Pm 3.23, 3 Sm 3.49
Pm2 0.5000 0.2869 0.2869  2 Tl 3.23, 2 Hg 3.24, 2 Sm 3.52
Pm3 0.5000 0.0000 0.7131  2 Tl 3.23, 2 Hg 3.24, 2 Sm 3.52
Hg2 0.5000 0.3333 0.6667  3 Pm 3.24, 6 Sm 3.40

***

10.
First-principles (PBE) data for a geometry-optimized PmSmTlHg structure, as listed in Alexandria.

The value obtained for the spin magnetization is 0.217 μB/atom. As for the formation energy from the elements: -0.43 eV per atom. Its space group is F-43m (216). As for the volume: 28.38 Å³/atom. Its crystal system is cubic.

abc: 5.4350 5.4350 5.4350
angles: 60.00 60.00 60.00
Last column: nearest neighbours and their distance in Å.
Fractional positions:
Sm1 0.2500 0.2500 0.2500  4 Hg 3.33, 4 Tl 3.33
Tl1 0.5000 0.5000 0.5000  4 Pm 3.33, 4 Sm 3.33
Hg1 0.0000 0.0000 0.0000  4 Pm 3.33, 4 Sm 3.33
Pm1 0.7500 0.7500 0.7500  4 Tl 3.33, 4 Hg 3.33